Entry 1:
! BaZrGeF2 GGA-PBE relaxed; values from VASP
&SYSTEM
  ibrav = 0, nat = 5, ntyp = 4
/
ATOMIC_SPECIES
Ge 72.64 Ge.upf
Ba 137.33 Ba.upf
Zr 91.22 Zr.upf
F 19.00 F.upf
ATOMIC_POSITIONS angstrom
Ge 0.0000 2.7140 0.0000
Ba 2.2687 2.7140 2.2687
Zr 0.0000 0.0000 0.0000
F 0.0000 0.0000 2.2687
F 2.2687 0.0000 0.0000
CELL_PARAMETERS angstrom
4.5374 0.0000 0.0000
0.0000 5.4281 0.0000
0.0000 0.0000 4.5374
! Calculated total energy   -28.58 eV/f.u.
! Space-group type   P4/mmm, No. 123
! Raw formation energy   -1.95 eV/atom



Entry 2:
! BaHF GGA-PBE relaxed; values from VASP
&SYSTEM
  ibrav = 0, nat = 3, ntyp = 3
/
ATOMIC_SPECIES
H 1.01 H.upf
Ba 137.33 Ba.upf
F 19.00 F.upf
ATOMIC_POSITIONS angstrom
H 1.0771 0.0000 2.4744
Ba 4.3873 0.0000 0.0000
F 3.6290 2.1429 1.2372
CELL_PARAMETERS angstrom
4.5467 0.0000 0.0000
0.0000 4.2858 0.0000
0.0000 -2.1429 3.7116
! Offset from the most stable computed form   188 meV per atom
! Calculated total energy   -13.11 eV/f.u.
! Space-group type   P3m1, No. 156



Entry 3:
! BaH6F8 GGA-PBE relaxed; values from VASP
&SYSTEM
  ibrav = 0, nat = 60, ntyp = 3
/
ATOMIC_SPECIES
Ba 137.33 Ba.upf
F 19.00 F.upf
H 1.01 H.upf
ATOMIC_POSITIONS angstrom
Ba 2.5103 -4.1333 5.3305
Ba -1.4471 -3.4032 2.7825
Ba 6.1192 -5.4139 2.3787
Ba 10.0765 -6.1440 4.9267
F 3.6550 -6.2819 6.8924
F 3.7871 -2.9520 7.6415
F 5.3632 -4.1391 4.8534
F 6.7811 -6.8587 8.9051
F 6.9132 -3.5288 9.6542
F 8.4892 -4.7159 6.8661
F 3.9980 -7.0278 1.2553
F 5.4394 -4.2947 -0.2003
F 3.6457 -3.9461 2.6855
F 0.8719 -6.4511 -0.7574
F 2.3133 -3.7179 -2.2130
F 0.5197 -3.3693 0.6727
F -0.3600 -3.8507 5.4177
F 1.1199 -2.3345 3.5536
F 0.8349 -5.1196 3.1982
F 8.7626 -6.5707 2.3934
F 8.2995 -4.1690 3.8009
F 7.2315 -6.5972 4.7638
F 3.9879 -1.6500 5.2573
F 3.9191 -6.2980 4.0322
F 6.0223 -2.5771 1.8320
F -1.3119 -0.6722 1.8450
F -1.3807 -5.3202 0.6200
F 0.7224 -1.5993 -1.5803
F 5.9173 -6.9345 6.7083
F 4.6737 -4.2388 9.4123
F 6.9033 -3.0649 6.2857
F 1.7146 -6.4567 1.4488
F 3.9463 -5.3448 -1.6988
F 2.7332 -2.6019 0.9713
F 5.2998 -0.9778 3.4123
F 0.0000 0.0000 0.0000
H 4.6270 -6.5725 6.7848
H 4.1424 -3.5172 8.4129
H 6.0163 -3.6488 5.4647
H 6.4328 -6.9057 7.9474
H 5.9482 -3.8503 9.5756
H 7.8221 -3.9820 6.6273
H 3.0136 -6.7850 1.3685
H 4.8139 -4.7709 -0.8504
H 3.2752 -3.3473 1.9472
H 1.2078 -6.4518 0.2058
H 3.0081 -4.4377 -2.0131
H 1.4694 -3.0142 0.7846
H -0.9121 -4.2847 6.1509
H 1.2923 -1.3342 3.5725
H 1.2147 -5.6860 2.4460
H 8.9965 -7.3629 1.8031
H 8.6279 -3.2397 3.5571
H 6.6692 -6.7342 5.5980
H 4.5518 -1.3610 4.4642
H 3.6657 -7.2743 4.1460
H 5.7117 -1.8897 2.5112
H -0.7480 -0.3832 1.0520
H -1.6341 -6.2965 0.7337
H 0.4119 -0.9119 -0.9010
CELL_PARAMETERS angstrom
-4.3847 -2.2465 6.1664
2.4145 -5.3451 -5.2818
10.5997 -1.9556 6.8246
! Calculated total energy   -68.80 eV/f.u.
! Space-group type   P-62c, No. 190



Entry 4:
! Ba7H12F2 GGA-PBE relaxed; values from VASP
&SYSTEM
  ibrav = 0, nat = 21, ntyp = 3
/
ATOMIC_SPECIES
Ba 137.33 Ba.upf
H 1.01 H.upf
F 19.00 F.upf
ATOMIC_POSITIONS angstrom
Ba -5.6898 1.9834 0.9625
Ba -5.8065 5.8064 -0.1577
Ba -8.9683 0.2246 2.3915
Ba -2.2946 -0.0809 0.6536
Ba -5.9895 -2.3351 0.1638
Ba -5.7554 -6.3180 1.2999
Ba -2.4036 -4.3887 -0.2007
H -7.4433 -4.2902 1.1516
H -3.2218 -6.7236 0.7274
H -3.4834 -2.0280 -0.6160
H -6.8229 3.3265 -1.3139
H -7.5204 0.0576 -0.1375
H -4.2656 0.8739 -1.2760
H -4.1315 3.7938 -0.0104
H -8.1561 2.5418 1.4705
H -4.7817 -0.3856 1.4274
H -7.1931 -1.6854 2.4804
H -4.3449 -7.2715 3.3828
H -1.0708 -2.3927 1.0147
F -0.5132 -0.5641 -1.8716
F -4.2029 -3.7832 2.2926
CELL_PARAMETERS angstrom
-1.0265 -1.1281 -3.7433
-2.7161 -9.5498 3.6228
-7.1766 7.7500 -0.3677
! Calculated total energy   -77.30 eV/f.u.
! Space-group type   P-6, No. 174



Entry 5:
! Ba2HF6 GGA-PBE relaxed; values from VASP
&SYSTEM
  ibrav = 0, nat = 9, ntyp = 3
/
ATOMIC_SPECIES
Ba 137.33 Ba.upf
H 1.01 H.upf
F 19.00 F.upf
ATOMIC_POSITIONS angstrom
Ba -0.0001 2.6798 5.6783
Ba 2.3271 1.3390 1.9296
H 0.0000 -0.0047 3.8013
F 2.3271 1.3356 6.8909
F 0.0000 2.6832 0.7170
F 2.3271 4.0240 2.6488
F 0.0000 2.6816 3.0784
F 0.0000 -0.0052 4.9591
F 2.3271 1.3372 4.5295
CELL_PARAMETERS angstrom
4.6543 -0.0001 0.0000
-2.3272 4.0284 0.0053
0.0000 -0.0095 7.6026
! Calculated total energy   -44.54 eV/f.u.
! Space-group type   P-3m1, No. 164



Entry 6:
! BaHF GGA-PBE relaxed; values from VASP
&SYSTEM
  ibrav = 0, nat = 3, ntyp = 3
/
ATOMIC_SPECIES
H 1.01 H.upf
Ba 137.33 Ba.upf
F 19.00 F.upf
ATOMIC_POSITIONS angstrom
H 0.0000 0.0000 0.0000
Ba -2.1544 0.2216 1.6584
F -4.3088 0.4433 3.3168
CELL_PARAMETERS angstrom
-2.1024 2.6515 2.8968
-4.4498 -0.0080 0.2027
-2.0654 -1.7569 3.5340
! Offset from the most stable computed form   0 meV per atom
! Calculated total energy   -13.68 eV/f.u.
! Space-group type   F-43m, No. 216



Entry 7:
! BaHF4 GGA-PBE relaxed; values from VASP
&SYSTEM
  ibrav = 0, nat = 6, ntyp = 3
/
ATOMIC_SPECIES
Ba 137.33 Ba.upf
H 1.01 H.upf
F 19.00 F.upf
ATOMIC_POSITIONS angstrom
Ba 0.4117 -5.4209 -0.3661
H 0.0000 0.0000 0.0000
F 0.4232 -2.6709 -0.8680
F 0.4001 -8.1710 0.1358
F 1.1625 -7.1739 -2.4117
F -0.3391 -3.6679 1.6796
CELL_PARAMETERS angstrom
-1.6550 -3.3751 -2.4150
3.0703 -3.1186 -0.9008
-0.5919 -4.3481 2.5837
! Offset from the most stable computed form   0 meV per atom
! Calculated total energy   -27.56 eV/f.u.
! Space-group type   C2/m, No. 12



Entry 8:
! BaHF4 GGA-PBE relaxed; values from VASP
&SYSTEM
  ibrav = 0, nat = 12, ntyp = 3
/
ATOMIC_SPECIES
Ba 137.33 Ba.upf
H 1.01 H.upf
F 19.00 F.upf
ATOMIC_POSITIONS angstrom
Ba -2.2624 4.2137 5.6761
Ba 3.3647 0.4331 1.8920
H -0.3117 1.3000 5.6761
H 1.4141 3.3468 1.8920
F 0.3063 3.6079 5.6761
F 0.7961 1.0389 1.8920
F 0.6329 1.0774 5.6761
F 0.4694 3.5694 1.8920
F -2.2528 4.2112 0.7587
F 3.3551 0.4356 4.5428
F -2.2528 4.2112 3.0254
F 3.3551 0.4356 6.8094
CELL_PARAMETERS angstrom
5.1321 -1.2096 0.0000
-4.0297 5.8564 0.0000
0.0000 0.0000 7.5682
! Offset from the most stable computed form   106 meV per atom
! Calculated total energy   -26.93 eV/f.u.
! Space-group type   P2_1/m, No. 11